Compound: MgInRe2
Source: Alexandria via LeMat-Bulk
Functional: GGA-PBE
Structure: relaxed

Computed properties:
formation enthalpy at 0 K = 0.46 eV/atom
DOS(E_F) = 0.610 states/eV per atom
magnetization = 0.00 Bohr magnetons per cell
excess energy over the best structure of this formula in the dataset = 30.31 kJ/mol of atoms

Cell: 2.8019 4.7304 5.2107 Å, 90.00 95.28 90.00°
Space group P2/m (No. 10)
Asymmetric unit:
Mg  0.0000  0.0000  0.0000 (multiplicity 1)
In  0.5000  0.0000  0.5000 (multiplicity 1)
Re  0.3182  0.5000  0.7730 (multiplicity 2)



Compound: CeEuCo4
Source: Alexandria via LeMat-Bulk
Functional: GGA-PBE
Structure: relaxed

Computed properties:
formation enthalpy at 0 K = -0.06 eV/atom
DOS(E_F) = 2.083 states/eV per atom
magnetization = 18.31 Bohr magnetons per cell

Cell: 7.1745 7.1745 7.1745 Å, 90.00 90.00 90.00°
Space group F-43m (No. 216)
Asymmetric unit:
Ce  0.0000  0.0000  0.0000 (multiplicity 4)
Eu  0.2500  0.2500  0.7500 (multiplicity 4)
Co  0.1256  0.1256  0.3744 (multiplicity 16)



Compound: AcPrTmGa
Source: Alexandria via LeMat-Bulk
Functional: GGA-PBE
Structure: relaxed

Computed properties:
formation enthalpy at 0 K = 0.04 eV/atom
DOS(E_F) = 1.654 states/eV per atom
magnetization = 0.00 Bohr magnetons per cell

Cell: 7.8310 7.8310 7.8310 Å, 90.00 90.00 90.00°
Space group F-43m (No. 216)
Asymmetric unit:
Ac  0.0000  0.0000  0.0000 (multiplicity 4)
Pr  0.2500  0.2500  0.2500 (multiplicity 4)
Tm  0.2500  0.2500  0.7500 (multiplicity 4)
Ga  0.0000  0.0000  0.5000 (multiplicity 4)



Compound: Sr2LiHgPd6
Source: Alexandria via LeMat-Bulk
Functional: GGA-PBE
Structure: relaxed

Computed properties:
formation enthalpy at 0 K = -0.41 eV/atom
DOS(E_F) = 0.487 states/eV per atom
magnetization = 0.00 Bohr magnetons per cell

Cell: 5.5491 6.6483 6.8043 Å, 69.32 66.03 65.56°
Space group P-1 (No. 2)
Asymmetric unit:
Sr  0.0016  0.2486  0.2479 (multiplicity 2)
Li  0.5000  0.5000  0.0000 (multiplicity 1)
Hg  0.5000  0.0000  0.5000 (multiplicity 1)
Pd  0.0050  0.6879  0.3056 (multiplicity 2)
Pd  0.3042  0.9408  0.9520 (multiplicity 2)
Pd  0.4995  0.6869  0.3065 (multiplicity 2)



Compound: Cu2Ag
Source: Alexandria via LeMat-Bulk
Functional: GGA-PBE
Structure: relaxed

Computed properties:
formation enthalpy at 0 K = 0.48 eV/atom
DOS(E_F) = 0.351 states/eV per atom
magnetization = 0.00 Bohr magnetons per cell
excess energy over the best structure of this formula in the dataset = 40.04 kJ/mol of atoms

Cell: 4.2073 4.2073 2.9594 Å, 90.00 90.00 90.00°
Space group P4/mmm (No. 123)
Asymmetric unit:
Cu  0.0000  0.5000  0.0000 (multiplicity 2)
Ag  0.0000  0.0000  0.5000 (multiplicity 1)



Compound: Nb3V5As2
Source: Alexandria via LeMat-Bulk
Functional: GGA-PBE
Structure: relaxed

Computed properties:
formation enthalpy at 0 K = 0.00 eV/atom
DOS(E_F) = 1.099 states/eV per atom
magnetization = 0.00 Bohr magnetons per cell

Cell: 9.6130 13.0926 5.2272 Å, 90.00 90.00 90.00°
Space group Ibam (No. 72)
Asymmetric unit:
Nb  0.0000  0.0000  0.2500 (multiplicity 4)
Nb  0.2288  0.3218  0.0000 (multiplicity 8)
V  0.0000  0.2007  0.2500 (multiplicity 8)
V  0.0000  0.5000  0.2500 (multiplicity 4)
V  0.0524  0.3494  0.5000 (multiplicity 8)
As  0.2027  0.1078  0.0000 (multiplicity 8)



Compound: VSi2Ru
Source: Alexandria via LeMat-Bulk
Functional: GGA-PBE
Structure: relaxed

Computed properties:
DOS(E_F) = 0.778 states/eV per atom
magnetization = 0.00 Bohr magnetons per cell
ΔE_f (raw) = 0.066 eV/atom

Cell: 2.8020 2.8020 26.0634 Å, 90.00 90.00 120.00°
Space group R-3m (No. 166, hexagonal axes)
Asymmetric unit:
V  0.0000  0.0000  0.0000 (multiplicity 3)
Si  0.0000  0.0000  0.0948 (multiplicity 6)
Ru  0.0000  0.0000  0.5000 (multiplicity 3)



Compound: LiMgSc2
Source: Alexandria via LeMat-Bulk
Functional: GGA-PBE
Structure: relaxed

Computed properties:
formation enthalpy at 0 K = 0.17 eV/atom
DOS(E_F) = 1.263 states/eV per atom
magnetization = 0.01 Bohr magnetons per cell

Cell: 7.1355 7.1355 7.1355 Å, 90.00 90.00 90.00°
Space group F-43m (No. 216)
Asymmetric unit:
Li  0.0000  0.0000  0.0000 (multiplicity 4)
Mg  0.2500  0.2500  0.2500 (multiplicity 4)
Sc  0.0000  0.0000  0.5000 (multiplicity 4)
Sc  0.2500  0.2500  0.7500 (multiplicity 4)



Compound: Al2AsPbO6
Source: Alexandria via LeMat-Bulk
Functional: GGA-PBE
Structure: relaxed

Computed properties:
magnetization = 4.00 Bohr magnetons per cell
ΔE_f (raw) = -2.000 eV/atom

Cell: 10.3019 10.2774 5.8198 Å, 90.00 108.51 90.00°
Space group C2/c (No. 15)
Asymmetric unit:
Al  0.2302  0.0869  0.3193 (multiplicity 8)
As  0.0000  0.3296  0.2500 (multiplicity 4)
Pb  0.0000  0.1599  0.7500 (multiplicity 4)
O  0.0995  0.3483  0.5862 (multiplicity 8)
O  0.1189  0.2219  0.1842 (multiplicity 8)
O  0.1912  0.0163  0.5640 (multiplicity 8)



Compound: NaLiSn2I6
Source: Alexandria via LeMat-Bulk
Functional: GGA-PBE
Structure: relaxed

Computed properties:
DOS(E_F) = 0.000 states/eV per atom
magnetization = 0.00 Bohr magnetons per cell
ΔE_f (raw) = -0.771 eV/atom

Cell: 7.9347 7.9347 21.7276 Å, 90.00 90.00 120.00°
Space group R3 (No. 146, hexagonal axes)
Asymmetric unit:
Na  0.0000  0.0000  0.0000 (multiplicity 3)
Li  0.0000  0.0000  0.4955 (multiplicity 3)
Sn  0.0000  0.0000  0.3135 (multiplicity 3)
Sn  0.0000  0.0000  0.8167 (multiplicity 3)
I  0.0263  0.3371  0.5699 (multiplicity 9)
I  0.0340  0.6721  0.0737 (multiplicity 9)



Compound: CuTc2Cl
Source: Alexandria via LeMat-Bulk
Functional: GGA-PBE
Structure: relaxed

Computed properties:
DOS(E_F) = 1.223 states/eV per atom
magnetization = 1.35 Bohr magnetons per cell
excess energy over the best structure of this formula in the dataset = 51.09 kJ/mol of atoms
ΔE_f (raw) = 0.705 eV/atom

Cell: 2.8231 4.7833 8.7237 Å, 90.00 90.00 90.00°
Space group Cmmm (No. 65)
Asymmetric unit:
Cu  0.0000  0.0000  0.0000 (multiplicity 2)
Tc  0.0000  0.5000  0.2526 (multiplicity 4)
Cl  0.0000  0.0000  0.5000 (multiplicity 2)



Compound: TlVW3
Source: Alexandria via LeMat-Bulk
Functional: GGA-PBE
Structure: relaxed

Computed properties:
formation enthalpy at 0 K = 1.68 eV/atom
DOS(E_F) = 1.227 states/eV per atom
magnetization = 0.00 Bohr magnetons per cell
excess energy over the best structure of this formula in the dataset = 0.00 kJ/mol of atoms

Cell: 4.6133 4.6133 4.6133 Å, 90.00 90.00 90.00°
Space group Pm-3m (No. 221)
Asymmetric unit:
Tl  0.0000  0.0000  0.0000 (multiplicity 1)
V  0.5000  0.5000  0.5000 (multiplicity 1)
W  0.0000  0.5000  0.5000 (multiplicity 3)